#P
CrCo3Ni6 | PBE | optimized geometry

abc: 8.655 8.655 2.447
angles: 90.00 90.00 136.54
Sites, in units of the cell vectors:
Cr  0.000  0.000  0.000
Co  0.000  0.500  0.500
Co  0.500  0.000  0.500
Co  0.500  0.500  0.000
Ni  0.138  0.862  0.500
Ni  0.192  0.434  0.000
Ni  0.434  0.192  0.000
Ni  0.566  0.808  0.000
Ni  0.808  0.566  0.000
Ni  0.862  0.138  0.500

Total moment = 11.77 μB/cell

---

#Q
CrCo3Ni6 | PBE | optimized geometry

abc: 6.273 6.273 6.273
angles: 82.43 82.43 82.43
Sites, in units of the cell vectors:
Cr  0.000  0.000  0.000
Cr  0.500  0.500  0.500
Co  0.046  0.723  0.744
Co  0.256  0.954  0.277
Co  0.277  0.256  0.954
Co  0.723  0.744  0.046
Co  0.744  0.046  0.723
Co  0.954  0.277  0.256
Ni  0.077  0.633  0.145
Ni  0.145  0.077  0.633
Ni  0.171  0.427  0.503
Ni  0.367  0.855  0.923
Ni  0.427  0.503  0.171
Ni  0.497  0.829  0.573
Ni  0.503  0.171  0.427
Ni  0.573  0.497  0.829
Ni  0.633  0.145  0.077
Ni  0.829  0.573  0.497
Ni  0.855  0.923  0.367
Ni  0.923  0.367  0.855

Total moment = 11.92 μB/cell

---

Short version: #Q is the most stable of them.

---

#P
CrCoNi5 | PBE | optimized geometry

abc: 3.519 3.519 6.681
angles: 90.00 90.00 90.00
Sites, in units of the cell vectors:
Cr  0.000  0.000  0.000
Co  0.500  0.500  0.500
Ni  0.000  0.500  0.263
Ni  0.000  0.500  0.737
Ni  0.500  0.000  0.263
Ni  0.500  0.000  0.737
Ni  0.500  0.500  0.000

Total moment = 4.44 μB/cell

---

#Q
CrCoNi5 | PBE | optimized geometry

abc: 5.465 5.465 5.465
angles: 112.90 87.17 131.32
Sites, in units of the cell vectors:
Cr  0.000  0.000  0.000
Co  0.743  0.243  0.500
Ni  0.157  0.895  0.262
Ni  0.229  0.540  0.310
Ni  0.229  0.919  0.690
Ni  0.534  0.534  0.000
Ni  0.633  0.895  0.738

Total moment = 1.80 μB/cell

---

Short version: #P is the most stable of them.